[1]
AlInCo2N, optimized geometry, DFT PBEsol; raw formation energy = 2434.6 meV/atom; theoretical density = 4.13 g cm⁻³
1.0
-4.5036 0.1643 1.3908
-1.3287 -1.9817 -4.0683
0.4644 -4.4869 2.0339
Co N Al In
2 1 1 1
direct
0.0000 0.5000 0.0000
0.5000 0.0000 0.0000
0.5000 0.5000 0.5000
0.0000 0.0000 0.5000
0.0000 0.0000 0.0000

[2]
LiAgI2N, optimized geometry, DFT PBEsol; raw formation energy = 646.6 meV/atom; theoretical density = 5.53 g cm⁻³
1.0
-3.2042 -1.4067 -1.6892
2.4027 -4.8533 -0.5159
-1.9230 -1.4699 4.8719
I Ag N Li
2 1 1 1
direct
0.0000 0.0000 0.5000
0.0000 0.5000 0.0000
0.5000 0.5000 0.5000
0.5000 0.0000 0.0000
0.0000 0.0000 0.0000

[3]
Ca4Al6WO16, optimized geometry, DFT PBEsol; raw formation energy = -2938.4 meV/atom; theoretical density = 3.12 g cm⁻³; excess energy over the best structure of this formula in the dataset = 7 meV per atom
1.0
-1.9447 -4.3612 6.5204
3.6823 -4.6700 -5.4725
5.0653 5.9556 2.0470
Ca O Al W
4 16 6 1
direct
0.0368 0.0161 0.5534
0.4627 0.4466 0.4834
0.9632 0.5166 0.9792
0.5373 0.0208 0.9839
0.1319 0.0467 0.8672
0.4197 0.7261 0.0062
0.3163 0.6237 0.6053
0.3592 0.9955 0.6702
0.6408 0.3110 0.6362
0.7200 0.9938 0.4135
0.6747 0.3638 0.0045
0.6837 0.2890 0.3074
0.2800 0.6935 0.2739
0.9816 0.6926 0.3763
0.5803 0.5865 0.3065
0.8681 0.7352 0.9148
0.3253 0.3298 0.6890
0.0184 0.3947 0.7110
0.1795 0.1328 0.2648
0.8205 0.0852 0.9533
0.5000 0.2500 0.7500
0.7320 0.4905 0.2539
0.5000 0.7500 0.2500
0.7634 0.2415 0.5095
0.2680 0.5219 0.7585
0.2366 0.7461 0.4781
0.0000 0.0000 0.0000